GaWNF2 | PBE+U | optimized geometry

**SG**: No. 123
**ΔE to the lowest computed polymorph**: 0.000 eV per atom

Lattice parameters (Å, degrees): 4.311 4.311 4.038 90.00 90.00 90.00
Fractional positions:
Ga 0.000 0.000 0.000
W 0.500 0.500 0.500
N 0.500 0.500 0.000
F 0.000 0.500 0.500
F 0.500 0.000 0.500